# 1
# LaUPa PBE relaxed
data_LaUPa
_symmetry_space_group_name_H-M 'P 1'
_symmetry_Int_Tables_number 1
_cell_length_a 4.946
_cell_length_b 4.946
_cell_length_c 4.946
_cell_angle_alpha 60.00
_cell_angle_beta 60.00
_cell_angle_gamma 60.00
loop_
_symmetry_equiv_pos_as_xyz
'x,y,z'
loop_
_atom_site_label
_atom_site_fract_x
_atom_site_fract_y
_atom_site_fract_z
La1 0.000 0.000 0.000
U1 0.250 0.250 0.250
Pa1 0.500 0.500 0.500
# total moment = 3.80 μB per cell
# calculated density = 11.8 g cm⁻³
# energy of formation from the pure elements = 1.0756 eV/atom
# E above lowest polymorph = 0 meV/atom
# V = 28.53 Å³ per atom
# SG = No. 216
# energy = -7.496 eV/atom

=====

# 2
# HfGeSb PBE relaxed
data_HfGeSb
_symmetry_space_group_name_H-M 'P 1'
_symmetry_Int_Tables_number 1
_cell_length_a 7.305
_cell_length_b 3.651
_cell_length_c 9.210
_cell_angle_alpha 90.00
_cell_angle_beta 90.00
_cell_angle_gamma 90.00
loop_
_symmetry_equiv_pos_as_xyz
'x,y,z'
loop_
_atom_site_label
_atom_site_fract_x
_atom_site_fract_y
_atom_site_fract_z
Hf1 0.124 0.250 0.246
Hf2 0.376 0.750 0.746
Hf3 0.624 0.250 0.254
Hf4 0.876 0.750 0.754
Ge1 0.113 0.250 0.593
Ge2 0.387 0.750 0.093
Ge3 0.613 0.250 0.907
Ge4 0.887 0.750 0.407
Sb1 0.138 0.250 0.912
Sb2 0.362 0.750 0.412
Sb3 0.638 0.250 0.588
Sb4 0.862 0.750 0.088
# total moment = 0.01 μB per cell
# calculated density = 10.1 g cm⁻³
# V = 20.47 Å³ per atom
# SG = No. 62
# energy = -6.573 eV/atom

=====

# 3
# KLuZnSe3 PBE relaxed
data_KLuZnSe3
_symmetry_space_group_name_H-M 'P 1'
_symmetry_Int_Tables_number 1
_cell_length_a 9.281
_cell_length_b 9.281
_cell_length_c 8.752
_cell_angle_alpha 101.71
_cell_angle_beta 101.71
_cell_angle_gamma 25.65
loop_
_symmetry_equiv_pos_as_xyz
'x,y,z'
loop_
_atom_site_label
_atom_site_fract_x
_atom_site_fract_y
_atom_site_fract_z
K1 0.143 0.143 0.067
K2 0.857 0.857 0.933
Lu1 0.171 0.171 0.572
Lu2 0.829 0.829 0.428
Zn1 0.475 0.475 0.270
Zn2 0.525 0.525 0.730
Se1 0.000 0.000 0.500
Se2 0.328 0.328 0.641
Se3 0.336 0.336 0.214
Se4 0.500 0.500 0.000
Se5 0.664 0.664 0.786
Se6 0.672 0.672 0.359
# total moment = 0.01 μB per cell
# calculated density = 5.4 g cm⁻³
# V = 26.60 Å³ per atom
# SG = No. 12
# energy = -4.120 eV/atom

=====

# 4
# GaCo2Cu PBE relaxed
data_GaCo2Cu
_symmetry_space_group_name_H-M 'P 1'
_symmetry_Int_Tables_number 1
_cell_length_a 4.058
_cell_length_b 4.058
_cell_length_c 4.058
_cell_angle_alpha 60.00
_cell_angle_beta 60.00
_cell_angle_gamma 60.00
loop_
_symmetry_equiv_pos_as_xyz
'x,y,z'
loop_
_atom_site_label
_atom_site_fract_x
_atom_site_fract_y
_atom_site_fract_z
Ga1 0.000 0.000 0.000
Co1 0.250 0.250 0.250
Co2 0.500 0.500 0.500
Cu1 0.750 0.750 0.750
# total moment = 2.64 μB per cell
# calculated density = 8.8 g cm⁻³
# V = 11.81 Å³ per atom
# SG = No. 216
# energy = -5.256 eV/atom

=====

# 5
# YErIr2 PBE relaxed
data_YErIr2
_symmetry_space_group_name_H-M 'P 1'
_symmetry_Int_Tables_number 1
_cell_length_a 4.756
_cell_length_b 4.756
_cell_length_c 3.499
_cell_angle_alpha 90.00
_cell_angle_beta 90.00
_cell_angle_gamma 90.00
loop_
_symmetry_equiv_pos_as_xyz
'x,y,z'
loop_
_atom_site_label
_atom_site_fract_x
_atom_site_fract_y
_atom_site_fract_z
Y1 0.000 0.000 0.000
Er1 0.500 0.500 0.000
Ir1 0.000 0.500 0.500
Ir2 0.500 0.000 0.500
# total moment = 0.00 μB per cell
# calculated density = 13.4 g cm⁻³
# energy of formation from the pure elements = -0.8346 eV/atom
# E above lowest polymorph = 0 meV/atom
# V = 19.79 Å³ per atom
# SG = No. 123
# energy = -8.019 eV/atom

=====

# 6
# MgTaTlFe PBE relaxed
data_MgTaTlFe
_symmetry_space_group_name_H-M 'P 1'
_symmetry_Int_Tables_number 1
_cell_length_a 4.652
_cell_length_b 4.652
_cell_length_c 4.652
_cell_angle_alpha 60.00
_cell_angle_beta 60.00
_cell_angle_gamma 60.00
loop_
_symmetry_equiv_pos_as_xyz
'x,y,z'
loop_
_atom_site_label
_atom_site_fract_x
_atom_site_fract_y
_atom_site_fract_z
Mg1 0.000 0.000 0.000
Ta1 0.500 0.500 0.500
Tl1 0.250 0.250 0.250
Fe1 0.750 0.750 0.750
# total moment = 1.42 μB per cell
# calculated density = 10.9 g cm⁻³
# E above lowest polymorph = 32 meV/atom
# V = 17.79 Å³ per atom
# SG = No. 216
# energy = -5.570 eV/atom

=====

# 7
# BeInCuHg PBE relaxed
data_BeInCuHg
_symmetry_space_group_name_H-M 'P 1'
_symmetry_Int_Tables_number 1
_cell_length_a 4.564
_cell_length_b 4.564
_cell_length_c 4.564
_cell_angle_alpha 60.00
_cell_angle_beta 60.00
_cell_angle_gamma 60.00
loop_
_symmetry_equiv_pos_as_xyz
'x,y,z'
loop_
_atom_site_label
_atom_site_fract_x
_atom_site_fract_y
_atom_site_fract_z
Be1 0.000 0.000 0.000
In1 0.250 0.250 0.250
Cu1 0.500 0.500 0.500
Hg1 0.750 0.750 0.750
# calculated density = 9.6 g cm⁻³
# E above lowest polymorph = 0 meV/atom
# V = 16.81 Å³ per atom
# SG = No. 216
# energy = -2.207 eV/atom

=====

# 8
# Ho2Ga3Ag PBE relaxed
data_Ho2Ga3Ag
_symmetry_space_group_name_H-M 'P 1'
_symmetry_Int_Tables_number 1
_cell_length_a 8.934
_cell_length_b 8.543
_cell_length_c 5.734
_cell_angle_alpha 74.58
_cell_angle_beta 67.20
_cell_angle_gamma 38.22
loop_
_symmetry_equiv_pos_as_xyz
'x,y,z'
loop_
_atom_site_label
_atom_site_fract_x
_atom_site_fract_y
_atom_site_fract_z
Ho1 0.245 0.755 0.755
Ho2 0.250 0.250 0.250
Ho3 0.750 0.750 0.750
Ho4 0.755 0.245 0.245
Ga1 0.171 0.665 0.335
Ga2 0.335 0.829 0.171
Ga3 0.336 0.336 0.664
Ga4 0.664 0.664 0.336
Ga5 0.665 0.171 0.829
Ga6 0.829 0.335 0.665
Ag1 0.168 0.168 0.832
Ag2 0.832 0.832 0.168
# total moment = 0.00 μB per cell
# calculated density = 8.6 g cm⁻³
# V = 20.75 Å³ per atom
# SG = No. 69
# energy = -4.079 eV/atom

=====

# 9
# SmInTc PBE relaxed
data_SmInTc
_symmetry_space_group_name_H-M 'P 1'
_symmetry_Int_Tables_number 1
_cell_length_a 4.865
_cell_length_b 4.865
_cell_length_c 4.865
_cell_angle_alpha 60.00
_cell_angle_beta 60.00
_cell_angle_gamma 60.00
loop_
_symmetry_equiv_pos_as_xyz
'x,y,z'
loop_
_atom_site_label
_atom_site_fract_x
_atom_site_fract_y
_atom_site_fract_z
Sm1 0.000 0.000 0.000
In1 0.750 0.750 0.750
Tc1 0.250 0.250 0.250
# total moment = 1.01 μB per cell
# calculated density = 7.4 g cm⁻³
# V = 27.15 Å³ per atom
# SG = No. 216
# energy = -4.941 eV/atom

=====

# 10
# TmPuTa PBE relaxed
data_TmPuTa
_symmetry_space_group_name_H-M 'P 1'
_symmetry_Int_Tables_number 1
_cell_length_a 4.853
_cell_length_b 4.853
_cell_length_c 4.853
_cell_angle_alpha 60.00
_cell_angle_beta 60.00
_cell_angle_gamma 60.00
loop_
_symmetry_equiv_pos_as_xyz
'x,y,z'
loop_
_atom_site_label
_atom_site_fract_x
_atom_site_fract_y
_atom_site_fract_z
Tm1 0.000 0.000 0.000
Pu1 0.250 0.250 0.250
Ta1 0.500 0.500 0.500
# total moment = 7.62 μB per cell
# calculated density = 12.2 g cm⁻³
# energy of formation from the pure elements = 1.1611 eV/atom
# E above lowest polymorph = 0 meV/atom
# V = 26.94 Å³ per atom
# SG = No. 216
# energy = -8.990 eV/atom

=====

# 11
# SmErAu2 PBE relaxed
data_SmErAu2
_symmetry_space_group_name_H-M 'P 1'
_symmetry_Int_Tables_number 1
_cell_length_a 4.677
_cell_length_b 5.812
_cell_length_c 5.812
_cell_angle_alpha 37.46
_cell_angle_beta 90.00
_cell_angle_gamma 90.00
loop_
_symmetry_equiv_pos_as_xyz
'x,y,z'
loop_
_atom_site_label
_atom_site_fract_x
_atom_site_fract_y
_atom_site_fract_z
Sm1 0.000 0.000 0.000
Er1 0.500 0.721 0.721
Au1 0.000 0.271 0.271
Au2 0.500 0.449 0.449
# total moment = 0.01 μB per cell
# calculated density = 12.3 g cm⁻³
# energy of formation from the pure elements = -0.8600 eV/atom
# V = 24.02 Å³ per atom
# SG = No. 38
# energy = -4.812 eV/atom

=====

# 12
# PrZnIr PBE relaxed
data_PrZnIr
_symmetry_space_group_name_H-M 'P 1'
_symmetry_Int_Tables_number 1
_cell_length_a 4.767
_cell_length_b 4.767
_cell_length_c 4.767
_cell_angle_alpha 60.00
_cell_angle_beta 60.00
_cell_angle_gamma 60.00
loop_
_symmetry_equiv_pos_as_xyz
'x,y,z'
loop_
_atom_site_label
_atom_site_fract_x
_atom_site_fract_y
_atom_site_fract_z
Pr1 0.000 0.000 0.000
Zn1 0.250 0.250 0.250
Ir1 0.750 0.750 0.750
# total moment = 0.00 μB per cell
# calculated density = 8.6 g cm⁻³
# energy of formation from the pure elements = 0.2633 eV/atom
# V = 25.54 Å³ per atom
# SG = No. 216
# energy = -4.701 eV/atom

=====

# 13
# YZnB2 PBE relaxed
data_YZnB2
_symmetry_space_group_name_H-M 'P 1'
_symmetry_Int_Tables_number 1
_cell_length_a 4.301
_cell_length_b 4.301
_cell_length_c 4.301
_cell_angle_alpha 60.00
_cell_angle_beta 60.00
_cell_angle_gamma 60.00
loop_
_symmetry_equiv_pos_as_xyz
'x,y,z'
loop_
_atom_site_label
_atom_site_fract_x
_atom_site_fract_y
_atom_site_fract_z
Y1 0.000 0.000 0.000
Zn1 0.250 0.250 0.250
B1 0.500 0.500 0.500
B2 0.750 0.750 0.750
# total moment = 0.00 μB per cell
# calculated density = 5.2 g cm⁻³
# V = 14.07 Å³ per atom
# SG = No. 216
# energy = -4.313 eV/atom

=====

# 14
# CuAg4 PBE relaxed
data_CuAg4
_symmetry_space_group_name_H-M 'P 1'
_symmetry_Int_Tables_number 1
_cell_length_a 10.341
_cell_length_b 10.341
_cell_length_c 4.097
_cell_angle_alpha 90.00
_cell_angle_beta 90.00
_cell_angle_gamma 157.38
loop_
_symmetry_equiv_pos_as_xyz
'x,y,z'
loop_
_atom_site_label
_atom_site_fract_x
_atom_site_fract_y
_atom_site_fract_z
Cu1 0.046 0.954 0.750
Cu2 0.954 0.046 0.250
Ag1 0.145 0.855 0.250
Ag2 0.250 0.750 0.750
Ag3 0.356 0.644 0.250
Ag4 0.454 0.546 0.750
Ag5 0.546 0.454 0.250
Ag6 0.644 0.356 0.750
Ag7 0.750 0.250 0.250
Ag8 0.855 0.145 0.750
# calculated density = 9.8 g cm⁻³
# energy of formation from the pure elements = 0.0522 eV/atom
# E above lowest polymorph = 28 meV/atom
# V = 16.85 Å³ per atom
# SG = No. 63
# energy = -2.951 eV/atom

=====

# 15
# Zr4Nb2Sb3C3 PBE relaxed
data_Zr4Nb2Sb3C3
_symmetry_space_group_name_H-M 'P 1'
_symmetry_Int_Tables_number 1
_cell_length_a 5.952
_cell_length_b 5.952
_cell_length_c 14.044
_cell_angle_alpha 102.19
_cell_angle_beta 102.19
_cell_angle_gamma 60.10
loop_
_symmetry_equiv_pos_as_xyz
'x,y,z'
loop_
_atom_site_label
_atom_site_fract_x
_atom_site_fract_y
_atom_site_fract_z
Zr1 0.033 0.194 0.090
Zr2 0.134 0.303 0.410
Zr3 0.194 0.033 0.590
Zr4 0.303 0.134 0.910
Zr5 0.697 0.866 0.090
Zr6 0.806 0.967 0.410
Zr7 0.866 0.697 0.590
Zr8 0.967 0.806 0.910
Nb1 0.356 0.527 0.080
Nb2 0.473 0.644 0.420
Nb3 0.527 0.356 0.580
Nb4 0.644 0.473 0.920
Sb1 0.098 0.902 0.250
Sb2 0.265 0.416 0.750
Sb3 0.416 0.265 0.250
Sb4 0.584 0.735 0.750
Sb5 0.735 0.584 0.250
Sb6 0.902 0.098 0.750
C1 0.000 0.500 0.000
C2 0.172 0.664 0.500
C3 0.336 0.828 0.000
C4 0.500 0.000 0.500
C5 0.664 0.172 0.000
C6 0.828 0.336 0.500
# total moment = 0.00 μB per cell
# calculated density = 7.6 g cm⁻³
# V = 17.43 Å³ per atom
# SG = No. 15
# energy = -8.525 eV/atom

=====

# 16
# Pm2Nd3Bi3 PBE relaxed
data_Pm2Nd3Bi3
_symmetry_space_group_name_H-M 'P 1'
_symmetry_Int_Tables_number 1
_cell_length_a 9.463
_cell_length_b 9.463
_cell_length_c 6.563
_cell_angle_alpha 90.00
_cell_angle_beta 90.00
_cell_angle_gamma 120.00
loop_
_symmetry_equiv_pos_as_xyz
'x,y,z'
loop_
_atom_site_label
_atom_site_fract_x
_atom_site_fract_y
_atom_site_fract_z
Pm1 0.333 0.667 0.000
Pm2 0.333 0.667 0.500
Pm3 0.667 0.333 0.000
Pm4 0.667 0.333 0.500
Nd1 0.000 0.247 0.250
Nd2 0.000 0.753 0.750
Nd3 0.247 0.000 0.250
Nd4 0.247 0.247 0.750
Nd5 0.753 0.000 0.750
Nd6 0.753 0.753 0.250
Bi1 0.000 0.389 0.750
Bi2 0.000 0.611 0.250
Bi3 0.389 0.000 0.750
Bi4 0.389 0.389 0.250
Bi5 0.611 0.000 0.250
Bi6 0.611 0.611 0.750
# total moment = 0.04 μB per cell
# calculated density = 8.8 g cm⁻³
# V = 31.81 Å³ per atom
# SG = No. 193
# energy = -5.282 eV/atom

=====

# 17
# SmYBe PBE relaxed
data_SmYBe
_symmetry_space_group_name_H-M 'P 1'
_symmetry_Int_Tables_number 1
_cell_length_a 4.789
_cell_length_b 4.789
_cell_length_c 4.789
_cell_angle_alpha 60.00
_cell_angle_beta 60.00
_cell_angle_gamma 60.00
loop_
_symmetry_equiv_pos_as_xyz
'x,y,z'
loop_
_atom_site_label
_atom_site_fract_x
_atom_site_fract_y
_atom_site_fract_z
Sm1 0.000 0.000 0.000
Y1 0.250 0.250 0.250
Be1 0.750 0.750 0.750
# total moment = 0.01 μB per cell
# calculated density = 5.3 g cm⁻³
# V = 25.89 Å³ per atom
# SG = No. 216
# energy = -4.028 eV/atom

=====

# 18
# PaSiW PBE relaxed
data_PaSiW
_symmetry_space_group_name_H-M 'P 1'
_symmetry_Int_Tables_number 1
_cell_length_a 4.483
_cell_length_b 4.483
_cell_length_c 4.483
_cell_angle_alpha 60.00
_cell_angle_beta 60.00
_cell_angle_gamma 60.00
loop_
_symmetry_equiv_pos_as_xyz
'x,y,z'
loop_
_atom_site_label
_atom_site_fract_x
_atom_site_fract_y
_atom_site_fract_z
Pa1 0.000 0.000 0.000
Si1 0.500 0.500 0.500
W1 0.250 0.250 0.250
# total moment = 0.02 μB per cell
# calculated density = 11.5 g cm⁻³
# V = 21.24 Å³ per atom
# SG = No. 216
# energy = -8.973 eV/atom

=====

# 19
# YHfNO PBE relaxed
data_YHfNO
_symmetry_space_group_name_H-M 'P 1'
_symmetry_Int_Tables_number 1
_cell_length_a 4.169
_cell_length_b 4.169
_cell_length_c 8.151
_cell_angle_alpha 90.00
_cell_angle_beta 90.00
_cell_angle_gamma 90.00
loop_
_symmetry_equiv_pos_as_xyz
'x,y,z'
loop_
_atom_site_label
_atom_site_fract_x
_atom_site_fract_y
_atom_site_fract_z
Y1 0.250 0.250 0.117
Y2 0.750 0.750 0.883
Hf1 0.250 0.750 0.500
Hf2 0.750 0.250 0.500
N1 0.250 0.250 0.551
N2 0.750 0.750 0.449
O1 0.250 0.750 0.000
O2 0.750 0.250 0.000
# total moment = 0.02 μB per cell
# calculated density = 7.0 g cm⁻³
# E above lowest polymorph = 151 meV/atom
# V = 17.71 Å³ per atom
# SG = No. 129
# energy = -9.407 eV/atom

=====

# 20
# Pd2Pb2O5 PBE relaxed
data_Pd2Pb2O5
_symmetry_space_group_name_H-M 'P 1'
_symmetry_Int_Tables_number 1
_cell_length_a 3.744
_cell_length_b 3.744
_cell_length_c 9.292
_cell_angle_alpha 90.00
_cell_angle_beta 90.00
_cell_angle_gamma 90.00
loop_
_symmetry_equiv_pos_as_xyz
'x,y,z'
loop_
_atom_site_label
_atom_site_fract_x
_atom_site_fract_y
_atom_site_fract_z
Pd1 0.000 0.000 0.000
Pd2 0.000 0.000 0.500
Pb1 0.500 0.500 0.239
Pb2 0.500 0.500 0.761
O1 0.000 0.500 0.370
O2 0.000 0.500 0.630
O3 0.500 0.000 0.370
O4 0.500 0.000 0.630
O5 0.500 0.500 0.000
# calculated density = 9.0 g cm⁻³
# E above lowest polymorph = 304 meV/atom
# V = 14.47 Å³ per atom
# SG = No. 123
# energy = -4.942 eV/atom